No. 1
Below is a relaxed KLi2 crystal, with properties calculated at the PBE-GGA level.

Properties
E above lowest polymorph   16 meV per atom
Energy of formation from the pure elements   0.30 eV per formula unit

Unit cell a=6.6605 b=6.6605 c=10.9661 alpha=90.00 beta=90.00 gamma=120.00
Space group P6_3/mmc (No. 194)
Symmetry-distinct sites (fractional):
1 K 0.3333 0.6667 0.0607
2 Li 0.0000 0.0000 0.0000
3 Li 0.1585 0.3170 0.7500



No. 2
Below is a relaxed KLi crystal, with properties calculated at the PBE-GGA level.

Properties
Energy of formation from the pure elements   0.30 eV per formula unit

Unit cell a=11.2664 b=4.3049 c=7.4604 alpha=90.00 beta=90.00 gamma=90.00
Space group Pnma (No. 62)
Symmetry-distinct sites (fractional):
1 K 0.1784 0.2500 0.0990
2 Li 0.0359 0.2500 0.6214



No. 3
Below is a relaxed KLi crystal, with properties calculated at the PBE-GGA level.

Properties
Energy of formation from the pure elements   0.32 eV per formula unit

Unit cell a=10.5663 b=10.5663 c=6.5100 alpha=90.00 beta=90.00 gamma=90.00
Space group I4/mmm (No. 139)
Symmetry-distinct sites (fractional):
1 K 0.0000 0.2864 0.0000
2 Li 0.1425 0.1425 0.5000



No. 4
Below is a relaxed K12Li crystal, with properties calculated at the PBE-GGA level.

Properties
Energy of formation from the pure elements   0.59 eV per formula unit

Unit cell a=12.1336 b=12.1336 c=12.1336 alpha=90.00 beta=90.00 gamma=90.00
Space group Im-3 (No. 204)
Symmetry-distinct sites (fractional):
1 K 0.0000 0.1761 0.3087
2 Li 0.0000 0.0000 0.0000



No. 5
Below is a relaxed KLi2 crystal, with properties calculated at the PBE-GGA level.

Properties
E above lowest polymorph   11 meV per atom
Energy of formation from the pure elements   0.29 eV per formula unit

Unit cell a=3.7849 b=4.1873 c=13.3448 alpha=90.00 beta=90.00 gamma=90.00
Space group Pmmn (No. 59, origin choice 2)
Symmetry-distinct sites (fractional):
1 K 0.2500 0.2500 0.1442
2 Li 0.2500 0.2500 0.4388
3 Li 0.2500 0.2500 0.6568



No. 6
Below is a relaxed KLi crystal, with properties calculated at the PBE-GGA level.

Properties
Energy of formation from the pure elements   0.19 eV per formula unit

Unit cell a=9.0274 b=4.7349 c=13.6565 alpha=90.00 beta=94.10 gamma=90.00
Space group C2/m (No. 12)
Symmetry-distinct sites (fractional):
1 K 0.0000 0.0000 0.0000
2 K 0.1702 0.5000 0.7283
3 Li 0.0000 0.0000 0.5000
4 Li 0.1664 0.5000 0.4550



No. 7
Below is a relaxed K3Li2 crystal, with properties calculated at the PBE-GGA level.

Properties
E above lowest polymorph   0 meV per atom
Energy of formation from the pure elements   0.86 eV per formula unit

Unit cell a=8.3771 b=8.3771 c=26.0467 alpha=90.00 beta=90.00 gamma=120.00
Space group R-3c (No. 167, hexagonal axes)
Symmetry-distinct sites (fractional):
1 K 0.0000 0.4307 0.2500
2 Li 0.0000 0.0000 0.1940



No. 8
Below is a relaxed KLi crystal, with properties calculated at the PBE-GGA level.

Properties
Energy of formation from the pure elements   0.29 eV per formula unit

Unit cell a=10.5947 b=10.5947 c=5.8866 alpha=90.00 beta=90.00 gamma=120.00
Space group P6_3/mmc (No. 194)
Symmetry-distinct sites (fractional):
1 K 0.1826 0.3652 0.2500
2 Li 0.1360 0.5680 0.7500



No. 9
Below is a relaxed KLi4 crystal, with properties calculated at the PBE-GGA level.

Properties
E above lowest polymorph   63 meV per atom
Energy of formation from the pure elements   3.15 eV per formula unit

Unit cell a=5.7245 b=5.7245 c=5.7245 alpha=90.00 beta=90.00 gamma=90.00
Space group Pm-3m (No. 221)
Symmetry-distinct sites (fractional):
1 K 0.0000 0.0000 0.0000
2 Li 0.0000 0.0000 0.5000
3 Li 0.5000 0.5000 0.5000



No. 10
Below is a relaxed K3Li4 crystal, with properties calculated at the PBE-GGA level.

Properties
Energy of formation from the pure elements   2.19 eV per formula unit

Unit cell a=7.4399 b=7.4399 c=6.4341 alpha=90.00 beta=90.00 gamma=120.00
Space group P6/mmm (No. 191)
Symmetry-distinct sites (fractional):
1 K 0.0000 0.5000 0.0000
2 Li 0.0000 0.0000 0.2598
3 Li 0.3333 0.6667 0.5000



No. 11
Below is a relaxed KLi crystal, with properties calculated at the PBE-GGA level.

Properties
Energy of formation from the pure elements   0.34 eV per formula unit

Unit cell a=5.5977 b=5.5977 c=11.1475 alpha=90.00 beta=90.00 gamma=90.00
Space group I4_1/amd (No. 141, origin choice 2)
Symmetry-distinct sites (fractional):
1 K 0.0000 0.2500 0.3750
2 Li 0.0000 0.2500 0.8750



No. 12
Below is a relaxed KLi crystal, with properties calculated at the PBE-GGA level.

Properties
Energy of formation from the pure elements   0.27 eV per formula unit

Unit cell a=13.4083 b=13.4083 c=4.0658 alpha=90.00 beta=90.00 gamma=90.00
Space group I4/m (No. 87)
Symmetry-distinct sites (fractional):
1 K 0.1198 0.1857 0.0000
2 Li 0.0650 0.5995 0.0000